FeMoW2Cl PBE relaxed; raw formation energy = 1.291 eV/atom; M_tot = 0.000 Bohr magnetons per cell
1.0
4.4236 0.0000 0.0000
0.0000 3.9671 0.0000
0.0000 0.0000 4.4236
Mo Fe W Cl
1 1 2 1
Direct
0.5000 0.5000 0.5000
0.0000 0.5000 0.0000
0.0000 0.0000 0.5000
0.5000 0.0000 0.0000
0.0000 0.0000 0.0000